A plane-wave DFT calculation with PBE-GGA was carried out for SnSbCl5 after structural relaxation.

Its energy relative to the elements, uncorrected is -6.1 eV/f.u. The polymorph energy (0 for the lowest one) comes out at 0.29 eV per formula unit. For the total magnetization, the calculation gives 0.00 μB per formula unit.

The structure belongs to space group Imm2 (No. 44); the cell edges are 8.805, 10.652 and 5.547 Å and the angles 90.00°, 90.00° and 90.00°. The asymmetric unit holds Sn at (0.000, 0.000, 0.000), Sb at (0.000, 0.500, 0.862), Cl at (0.000, 0.252, 0.879), Cl at (0.000, 0.500, 0.427) and Cl at (0.194, 0.000, 0.366).